Entry 1:
Mn3NbOs | the Alexandria database | PBE | optimized geometry; space-group type = Pm-3m, No. 221; uncorrected energy = -7.65 eV per atom; spin magnetization = 0.4 μB/f.u.; offset from the most stable computed form = 796 meV per atom; crystal system = cubic; density of states at the Fermi level = 11.39 states/eV/cell
1.0
4.338 0.000 0.000
0.000 4.338 0.000
0.000 0.000 4.338
Nb Mn Os
1 3 1
Direct
0.000 0.000 0.000
0.000 0.500 0.000
0.000 0.000 0.500
0.500 0.000 0.000
0.500 0.500 0.500

=====

Entry 2:
Mn2Nb2Os | the Alexandria database | PBE | optimized geometry; space-group type = P4/mbm, No. 127; uncorrected energy = -9.89 eV per atom; spin magnetization = 0.0 μB/f.u.; crystal system = tetragonal; density of states at the Fermi level = 8.72 states/eV/cell
1.0
6.198 0.000 0.000
0.000 6.198 0.000
0.000 0.000 3.908
Nb Mn Os
4 4 2
Direct
0.181 0.681 0.500
0.681 0.819 0.500
0.819 0.319 0.500
0.319 0.181 0.500
0.384 0.884 0.000
0.884 0.616 0.000
0.616 0.116 0.000
0.116 0.384 0.000
0.000 0.000 0.000
0.500 0.500 0.000

=====

Entry 3:
MnNb3Os2 | the Alexandria database | PBE | optimized geometry; space-group type = P2/m, No. 10; uncorrected energy = -10.44 eV per atom; spin magnetization = 0.7 μB/f.u.; crystal system = monoclinic; density of states at the Fermi level = 10.01 states/eV/cell
1.0
-0.265 4.464 -0.251
-4.817 1.838 -4.961
-4.506 -0.023 4.366
Mn Nb Os
2 6 4
Direct
0.322 0.317 0.000
0.678 0.683 0.000
0.821 0.343 0.761
0.500 0.000 0.244
0.179 0.657 0.239
0.821 0.343 0.239
0.179 0.657 0.761
0.500 0.000 0.756
0.000 0.000 0.000
0.000 0.000 0.500
0.329 0.328 0.500
0.671 0.672 0.500

=====

Entry 4:
Mn3Nb4Os | the Alexandria database | PBE | optimized geometry; space-group type = Pmmm, No. 47; uncorrected energy = -10.01 eV per atom; spin magnetization = 0.0 μB/f.u.; crystal system = orthorhombic; density of states at the Fermi level = 2.61 states/eV/cell
1.0
-1.958 2.342 0.546
-3.225 -2.899 0.867
2.303 -0.041 8.429
Nb Mn Os
4 3 1
Direct
0.000 0.000 0.500
0.000 0.500 0.739
0.000 0.000 0.000
0.000 0.500 0.261
0.500 0.000 0.250
0.500 0.500 0.500
0.500 0.000 0.750
0.500 0.500 0.000

=====

Entry 5:
MnNbOs3 | the Alexandria database | PBE | optimized geometry; space-group type = Pm-3m, No. 221; uncorrected energy = -9.21 eV per atom; spin magnetization = 0.0 μB/f.u.; offset from the most stable computed form = 0 meV per atom; crystal system = cubic; density of states at the Fermi level = 6.96 states/eV/cell
1.0
4.401 0.000 0.000
0.000 4.401 0.000
0.000 0.000 4.401
Nb Mn Os
1 1 3
Direct
0.500 0.500 0.500
0.000 0.000 0.000
0.000 0.500 0.000
0.000 0.000 0.500
0.500 0.000 0.000

=====

Entry 6:
MnNbOs3 | the Alexandria database | PBE | optimized geometry; space-group type = Pm-3m, No. 221; uncorrected energy = -7.91 eV per atom; spin magnetization = 0.1 μB/f.u.; offset from the most stable computed form = 1291 meV per atom; crystal system = cubic; density of states at the Fermi level = 7.41 states/eV/cell
1.0
4.700 0.000 0.000
0.000 4.700 0.000
0.000 0.000 4.700
Nb Mn Os
1 1 3
Direct
0.000 0.000 0.000
0.500 0.500 0.500
0.000 0.500 0.000
0.000 0.000 0.500
0.500 0.000 0.000

=====

Entry 7:
Mn4NbOs | the Alexandria database | PBE | optimized geometry; space-group type = F-43m, No. 216; uncorrected energy = -9.76 eV per atom; spin magnetization = 0.0 μB/f.u.; crystal system = cubic; density of states at the Fermi level = 5.45 states/eV/cell
1.0
-2.645 3.436 1.889
-3.863 -1.093 2.502
-0.044 0.645 4.686
Nb Mn Os
1 4 1
Direct
0.250 0.250 0.250
0.624 0.624 0.127
0.624 0.127 0.624
0.624 0.624 0.624
0.127 0.624 0.624
0.000 0.000 0.000

=====

Entry 8:
Mn5NbOs | the Alexandria database | PBE | optimized geometry; space-group type = Pnma, No. 62; uncorrected energy = -9.66 eV per atom; spin magnetization = 2.4 μB/f.u.; crystal system = orthorhombic; density of states at the Fermi level = 26.85 states/eV/cell
1.0
-2.765 1.796 3.280
-6.233 -1.437 -4.467
-0.899 -8.901 4.117
Mn Nb Os
20 4 4
Direct
0.250 0.591 0.025
0.750 0.909 0.525
0.250 0.091 0.475
0.750 0.409 0.975
0.750 0.309 0.747
0.250 0.191 0.247
0.750 0.809 0.753
0.250 0.691 0.253
0.250 0.946 0.086
0.750 0.554 0.586
0.250 0.446 0.414
0.750 0.054 0.914
0.992 0.427 0.189
0.008 0.073 0.689
0.508 0.927 0.311
0.492 0.573 0.811
0.008 0.573 0.811
0.992 0.927 0.311
0.492 0.073 0.689
0.508 0.427 0.189
0.250 0.245 0.938
0.750 0.255 0.438
0.250 0.745 0.562
0.750 0.755 0.062
0.250 0.863 0.850
0.750 0.637 0.350
0.250 0.363 0.650
0.750 0.137 0.150